# 1
The following is a PBE calculation of an optimized crystal structure of CsRbRhO3, from the Alexandria database.

Cell: 7.3175 7.3175 5.8085 Å, 95.88 95.88 128.19°
Fractional coordinates of all 12 atoms:
1 Cs 0.2473 0.7527 0.7500
2 Cs 0.7527 0.2473 0.2500
3 Rb 0.4160 0.5840 0.2500
4 Rb 0.5840 0.4160 0.7500
5 Rh 0.0513 0.9487 0.2500
6 Rh 0.9487 0.0513 0.7500
7 O 0.1201 0.2165 0.4818
8 O 0.1957 0.8043 0.2500
9 O 0.2165 0.1201 0.9818
10 O 0.7835 0.8799 0.0182
11 O 0.8043 0.1957 0.7500
12 O 0.8799 0.7835 0.5182

Formation energy (no corrections)   -1.01 eV/atom
Calculated volume   237.7 Å³/cell
Fermi-level density of states   1.0 states/eV/f.u.
Symmetry   C2/c

# 2
The following is a PBE calculation of an optimized crystal structure of AcLaBr4, from the Alexandria database.

Cell: 7.3812 7.3812 7.3812 Å, 131.32 131.32 71.30°
Fractional coordinates of all 6 atoms:
1 Ac 0.0000 0.0000 0.0000
2 La 0.7500 0.2500 0.5000
3 Br 0.0088 0.5088 0.5000
4 Br 0.2620 0.2620 0.0000
5 Br 0.4912 0.9912 0.5000
6 Br 0.7380 0.7380 0.0000

Formation energy (no corrections)   -1.68 eV/atom
Calculated volume   222.0 Å³/cell
Fermi-level density of states   3.1 states/eV/f.u.
Symmetry   I-4m2